The following is a DFT calculation (GGA-PBE) of an optimized crystal structure of MgAl2Zn.

Values from the calculation:
Energy of formation ... 7.3 kJ/mol of atoms
Magnetization ... 0.00 μB per atom
Energy ... -2.51 eV per atom

Structure (POSCAR):
```
MgAl2Zn
1.0
3.298 0.000 0.000
0.000 3.298 0.000
0.000 0.000 6.658
Mg Al Zn
1 2 1
Direct
0.000 0.000 0.000 Mg
0.500 0.500 0.281 Al
0.500 0.500 0.719 Al
0.000 0.000 0.500 Zn
```